# 1
Compound: PuBr6
Source: the Alexandria database
Functional: PBE-GGA
Structure: optimized geometry

The structure in extended XYZ format:
```
28
Lattice="13.357 0.000 0.000 0.000 12.228 0.000 0.000 0.000 7.112" Properties=species:S:1:pos:R:3 pbc="T T T"
Pu 1.745 3.057 0.638
Pu 4.934 9.171 4.194
Pu 8.424 3.057 2.918
Pu 11.612 9.171 6.474
Br 0.142 3.057 5.648
Br 0.262 1.188 1.776
Br 0.262 4.926 1.776
Br 3.233 1.188 6.616
Br 3.233 4.926 6.616
Br 3.332 9.171 6.291
Br 3.347 3.057 2.735
Br 3.446 7.302 3.060
Br 3.446 11.040 3.060
Br 6.416 7.302 5.332
Br 6.416 11.040 5.332
Br 6.536 9.171 2.092
Br 6.821 3.057 5.020
Br 6.941 1.188 1.780
Br 6.941 4.926 1.780
Br 9.912 1.188 4.052
Br 9.912 4.926 4.052
Br 10.011 9.171 4.377
Br 10.025 3.057 0.821
Br 10.124 7.302 0.496
Br 10.124 11.040 0.496
Br 13.095 7.302 5.336
Br 13.095 11.040 5.336
Br 13.215 9.171 1.464
```

Output
DOS at the Fermi energy: 1.1041 states/eV/atom
space-group type: No. 62
raw formation energy: -0.8404 eV per atom
total DFT energy (no corrections): -4.322 eV per atom

---

# 2
Compound: PuBr
Source: the Alexandria database
Functional: PBE-GGA
Structure: optimized geometry

The structure in extended XYZ format:
```
4
Lattice="3.847 0.000 0.000 0.000 3.469 0.000 -1.403 0.000 7.817" Properties=species:S:1:pos:R:3 pbc="T T T"
Pu 0.548 0.867 0.533
Pu 1.896 2.602 7.284
Br 0.253 0.867 5.581
Br 2.191 2.602 2.237
```

Output
DOS at the Fermi energy: 1.6132 states/eV/atom
space-group type: No. 11
raw formation energy: -0.6420 eV per atom
total DFT energy (no corrections): -8.644 eV per atom

---

# 3
Compound: PuBr3
Source: the Alexandria database
Functional: PBE-GGA
Structure: optimized geometry

The structure in extended XYZ format:
```
8
Lattice="2.025 -7.131 0.000 2.025 7.131 0.000 0.000 0.000 9.190" Properties=species:S:1:pos:R:3 pbc="T T T"
Pu 2.025 3.722 6.893
Pu 2.025 -3.722 2.298
Br 2.025 4.900 0.628
Br 2.025 4.900 3.967
Br 2.025 1.362 2.298
Br 2.025 -1.362 6.893
Br 2.025 -4.900 5.223
Br 2.025 -4.900 8.563
```

Output
DOS at the Fermi energy: 2.7281 states/eV/atom
space-group type: No. 63
raw formation energy: -1.5060 eV per atom
total DFT energy (no corrections): -6.344 eV per atom

---

# 4
Compound: PuBr2
Source: the Alexandria database
Functional: PBE-GGA
Structure: optimized geometry

The structure in extended XYZ format:
```
6
Lattice="7.235 -1.897 0.000 7.235 1.897 0.000 -5.704 0.000 7.144" Properties=species:S:1:pos:R:3 pbc="T T T"
Pu 1.719 0.000 0.367
Pu 7.046 0.000 6.777
Br -1.952 0.000 5.340
Br 1.866 0.000 5.437
Br 6.899 0.000 1.707
Br 10.717 0.000 1.804
```

Output
DOS at the Fermi energy: 2.9259 states/eV/atom
space-group type: No. 12
raw formation energy: -1.4161 eV per atom
total DFT energy (no corrections): -7.309 eV per atom

---

# 5
Compound: PuBr2
Source: the Alexandria database
Functional: PBE-GGA
Structure: optimized geometry

The structure in extended XYZ format:
```
6
Lattice="7.243 0.000 0.000 0.000 7.243 0.000 0.000 0.000 4.138" Properties=species:S:1:pos:R:3 pbc="T T T"
Pu 0.000 0.000 0.000
Pu 3.622 3.622 2.069
Br 1.508 1.508 2.069
Br 2.114 5.129 0.000
Br 5.129 2.114 0.000
Br 5.736 5.736 2.069
```

Output
DOS at the Fermi energy: 4.7185 states/eV/atom
space-group type: No. 136
raw formation energy: -1.3775 eV per atom
total DFT energy (no corrections): -7.270 eV per atom

---

# 6
Compound: Rb3PuBr7
Source: the Alexandria database
Functional: PBE-GGA
Structure: optimized geometry

The structure in extended XYZ format:
```
11
Lattice="5.431 -5.480 0.000 5.431 5.480 0.000 -2.914 0.000 8.080" Properties=species:S:1:pos:R:3 pbc="T T T"
Rb 0.000 0.000 0.000
Rb 4.037 2.469 4.349
Rb 4.037 -2.469 4.349
Pu 5.262 0.000 0.230
Br 1.264 1.948 6.680
Br 3.032 0.000 1.932
Br 6.362 2.041 1.747
Br 1.264 -1.948 6.680
Br 4.643 0.000 6.732
Br 6.362 -2.041 1.747
Br 8.368 0.000 4.838
```

Output
DOS at the Fermi energy: 0.4911 states/eV/atom
space-group type: No. 8
raw formation energy: -1.5467 eV per atom
total DFT energy (no corrections): -4.178 eV per atom

---

# 7
Compound: RbPu2Br5
Source: the Alexandria database
Functional: PBE-GGA
Structure: optimized geometry

The structure in extended XYZ format:
```
8
Lattice="-2.236 3.794 7.886 2.236 -3.794 7.886 2.236 3.794 -7.886" Properties=species:S:1:pos:R:3 pbc="T T T"
Rb 0.000 0.000 0.000
Pu 2.236 0.000 4.907
Pu 0.000 3.794 2.979
Br 2.236 1.790 -2.404
Br 2.236 1.790 2.404
Br 0.000 3.794 0.000
Br 0.000 2.004 5.482
Br 0.000 2.004 10.289
```

Output
DOS at the Fermi energy: 3.4153 states/eV/atom
space-group type: No. 71
raw formation energy: -1.4857 eV per atom
total DFT energy (no corrections): -6.235 eV per atom

---

# 8
Compound: RbPuBr3
Source: the Alexandria database
Functional: PBE-GGA
Structure: optimized geometry

The structure in extended XYZ format:
```
20
Lattice="9.753 0.000 0.000 0.000 4.387 0.000 0.000 0.000 16.686" Properties=species:S:1:pos:R:3 pbc="T T T"
Rb 0.713 1.097 2.965
Rb 4.164 3.290 11.308
Rb 5.589 1.097 5.379
Rb 9.041 3.290 13.722
Pu 1.505 3.290 7.480
Pu 3.372 1.097 15.823
Pu 6.381 3.290 0.863
Pu 8.249 1.097 9.206
Br 0.278 3.290 10.206
Br 1.621 3.290 0.190
Br 2.047 1.097 13.187
Br 2.829 3.290 4.844
Br 3.255 1.097 8.533
Br 4.599 1.097 1.863
Br 5.155 3.290 14.824
Br 6.498 3.290 8.153
Br 6.924 1.097 11.842
Br 7.706 3.290 3.499
Br 8.132 1.097 16.497
Br 9.475 1.097 6.481
```

Output
DOS at the Fermi energy: 2.2277 states/eV/atom
space-group type: No. 62
raw formation energy: -1.5600 eV per atom
total DFT energy (no corrections): -5.624 eV per atom

---

# 9
Compound: Rb2Pu2Br7
Source: the Alexandria database
Functional: PBE-GGA
Structure: optimized geometry

The structure in extended XYZ format:
```
11
Lattice="4.777 -5.555 0.000 4.777 5.555 0.000 0.000 0.000 7.955" Properties=species:S:1:pos:R:3 pbc="T T T"
Rb 2.246 0.000 0.000
Rb 7.309 0.000 0.000
Pu 4.777 2.455 3.977
Pu 4.777 -2.455 3.977
Br 0.000 0.000 3.977
Br 2.389 2.778 2.115
Br 2.389 2.778 5.840
Br 2.389 -2.778 2.115
Br 2.389 -2.778 5.840
Br 4.777 0.000 2.219
Br 4.777 0.000 5.736
```

Output
DOS at the Fermi energy: 2.3125 states/eV/atom
space-group type: No. 65
raw formation energy: -1.6011 eV per atom
total DFT energy (no corrections): -5.447 eV per atom

---

# 10
Compound: Rb2Pu3Br10
Source: the Alexandria database
Functional: PBE-GGA
Structure: optimized geometry

The structure in extended XYZ format:
```
30
Lattice="13.398 -4.267 0.000 13.398 4.267 0.000 -3.965 0.000 10.456" Properties=species:S:1:pos:R:3 pbc="T T T"
Rb 2.592 0.000 2.038
Rb 2.834 0.000 9.025
Rb 19.997 0.000 1.430
Rb 20.239 0.000 8.418
Pu 11.415 2.197 5.228
Pu 6.690 0.000 4.893
Pu 11.212 0.000 0.254
Pu 11.619 0.000 10.201
Pu 16.141 0.000 5.563
Pu 11.415 -2.197 5.228
Br 4.717 2.133 5.228
Br -2.458 0.000 7.188
Br 9.317 2.090 0.367
Br 8.547 2.244 4.671
Br 6.127 0.000 2.146
Br 13.398 1.972 0.000
Br 14.284 2.244 5.785
Br 6.876 0.000 7.836
Br 13.514 2.090 10.089
Br 11.859 0.000 3.262
Br 4.717 -2.133 5.228
Br 10.972 0.000 7.194
Br 9.317 -2.090 0.367
Br 15.955 0.000 2.620
Br 8.547 -2.244 4.671
Br 13.398 -1.972 0.000
Br 16.704 0.000 8.309
Br 14.284 -2.244 5.785
Br 13.514 -2.090 10.089
Br 25.289 0.000 3.268
```

Output
DOS at the Fermi energy: 2.7680 states/eV/atom
space-group type: No. 12
raw formation energy: -1.5827 eV per atom
total DFT energy (no corrections): -5.693 eV per atom

---

# 11
Compound: RbPu2Br5
Source: the Alexandria database
Functional: PBE-GGA
Structure: optimized geometry

The structure in extended XYZ format:
```
16
Lattice="-4.102 4.102 7.698 4.102 -4.102 7.698 4.102 4.102 -7.698" Properties=species:S:1:pos:R:3 pbc="T T T"
Rb 0.000 0.000 3.849
Rb 0.000 0.000 11.548
Pu 5.309 1.207 0.000
Pu 1.207 2.895 0.000
Pu 2.895 1.207 7.698
Pu -1.207 2.895 7.698
Br 0.000 0.000 0.000
Br 2.846 1.256 -1.965
Br 2.846 -1.256 5.734
Br 2.846 1.256 1.965
Br 2.846 -1.256 9.663
Br 0.000 0.000 7.698
Br 1.256 5.359 -1.965
Br 1.256 2.846 5.734
Br 1.256 5.359 1.965
Br 1.256 2.846 9.663
```

Output
DOS at the Fermi energy: 3.0016 states/eV/atom
space-group type: No. 140
raw formation energy: -1.5199 eV per atom
total DFT energy (no corrections): -6.269 eV per atom

---

# 12
Compound: RbPu4Br8
Source: the Alexandria database
Functional: PBE-GGA
Structure: optimized geometry

The structure in extended XYZ format:
```
13
Lattice="0.000 6.257 6.257 6.257 0.000 6.257 6.257 6.257 0.000" Properties=species:S:1:pos:R:3 pbc="T T T"
Rb 0.000 0.000 0.000
Pu 7.683 4.831 4.831
Pu 4.831 7.683 4.831
Pu 4.831 4.831 7.683
Pu 7.683 7.683 7.683
Br 4.707 4.707 4.707
Br 7.807 7.807 4.707
Br 7.807 4.707 7.807
Br 10.709 8.062 8.062
Br 8.062 10.709 8.062
Br 8.062 8.062 10.709
Br 10.709 10.709 10.709
Br 4.707 7.807 7.807
```

Output
DOS at the Fermi energy: 3.5681 states/eV/atom
space-group type: No. 216
raw formation energy: -1.3222 eV per atom
total DFT energy (no corrections): -6.836 eV per atom